A plane-wave DFT calculation with PBE-GGA was carried out for an optimized crystal structure of AcCuW.

```
AcCuW
1.0
0.000 3.465 3.465
3.465 0.000 3.465
3.465 3.465 0.000
Ac Cu W
1 1 1
direct
0.000 0.000 0.000
0.750 0.750 0.750
0.250 0.250 0.250
```

Results
* mass density: 9.47 g/cm³
* VASP energy: -5.096 eV per atom

A plane-wave DFT calculation with PBE-GGA was carried out for an optimized crystal structure of Si2TcB2.

```
Si2TcB2
1.0
-1.396 1.396 6.787
1.396 -1.396 6.787
1.396 1.396 -6.787
Si Tc B
2 1 2
direct
0.126 0.126 0.000
0.874 0.874 0.000
0.500 0.500 0.000
0.250 0.750 0.500
0.750 0.250 0.500
```

Results
* mass density: 5.52 g/cm³
* VASP energy: -6.487 eV per atom

A plane-wave DFT calculation with PBE-GGA was carried out for an optimized crystal structure of BaGa5PdPt.

```
BaGa5PdPt
1.0
-2.142 3.663 5.228
2.142 -3.663 5.228
2.142 3.663 -5.228
Ba Ga Pd Pt
1 5 1 1
direct
0.000 0.000 0.000
0.153 0.344 0.809
0.462 0.653 0.809
0.502 0.002 0.500
0.535 0.344 0.191
0.844 0.653 0.191
0.732 0.232 0.500
0.269 0.769 0.500
```

Results
* mass density: 7.97 g/cm³
* VASP energy: -4.127 eV per atom